[1]
PBE CuAgS2, relaxed; uncorrected energy = -58.47 eV per cell; volume = 301 Å³/cell; crystal system = monoclinic; space group = No. 14
1.0
6.940 0.000 0.000
0.000 6.127 0.000
-0.764 0.000 7.073
Cu Ag S
4 4 8
Direct
0.099 0.171 0.116
0.099 0.329 0.616
0.901 0.671 0.384
0.901 0.829 0.884
0.389 0.557 0.230
0.389 0.943 0.730
0.611 0.057 0.270
0.611 0.443 0.770
0.088 0.701 0.671
0.088 0.799 0.171
0.391 0.234 0.009
0.391 0.266 0.509
0.609 0.734 0.491
0.609 0.766 0.991
0.912 0.201 0.829
0.912 0.299 0.329

[2]
PBE Ta4Re9, relaxed; uncorrected energy = -161.05 eV per cell; volume = 211 Å³/cell; crystal system = trigonal; space group = No. 166; energy above the most stable polymorph in this dataset = 0.000 eV/atom; energy of formation = -0.1410 eV/atom
1.0
2.572 1.485 9.201
-2.572 1.485 9.201
0.000 -2.970 9.201
Ta Re
4 9
Direct
0.154 0.154 0.154
0.334 0.334 0.334
0.666 0.666 0.666
0.846 0.846 0.846
0.046 0.046 0.046
0.083 0.590 0.590
0.410 0.410 0.917
0.410 0.917 0.410
0.500 0.500 0.500
0.590 0.083 0.590
0.590 0.590 0.083
0.917 0.410 0.410
0.954 0.954 0.954

[3]
PBE CsGa9Au5, relaxed; uncorrected energy = -96.62 eV per cell; volume = 648 Å³/cell; crystal system = hexagonal; space group = No. 194
1.0
7.756 0.000 0.000
-3.878 6.716 0.000
0.000 0.000 12.439
Cs Ga Au
2 18 10
Direct
0.000 0.000 0.000
0.000 0.000 0.500
0.077 0.539 0.097
0.077 0.539 0.403
0.195 0.390 0.750
0.195 0.805 0.750
0.390 0.195 0.250
0.461 0.539 0.097
0.461 0.539 0.403
0.461 0.923 0.097
0.461 0.923 0.403
0.539 0.077 0.597
0.539 0.077 0.903
0.539 0.461 0.597
0.539 0.461 0.903
0.610 0.805 0.750
0.805 0.195 0.250
0.805 0.610 0.250
0.923 0.461 0.597
0.923 0.461 0.903
0.190 0.380 0.250
0.190 0.810 0.250
0.333 0.667 0.584
0.333 0.667 0.916
0.380 0.190 0.750
0.620 0.810 0.250
0.667 0.333 0.084
0.667 0.333 0.416
0.810 0.190 0.750
0.810 0.620 0.750

[4]
PBE YCdAg2, relaxed; uncorrected energy = -28.49 eV per cell; volume = 171 Å³/cell; crystal system = orthorhombic; space group = No. 59; energy of formation = -0.3087 eV/atom
1.0
5.038 0.000 0.000
0.000 6.733 0.000
0.000 0.000 5.042
Y Cd Ag
2 2 4
Direct
0.250 0.250 0.195
0.750 0.750 0.805
0.250 0.750 0.215
0.750 0.250 0.785
0.250 0.504 0.696
0.250 0.996 0.696
0.750 0.004 0.304
0.750 0.496 0.304

[5]
PBE NaYCdS3, relaxed; uncorrected energy = -58.20 eV per cell; volume = 325 Å³/cell; crystal system = monoclinic; space group = No. 11; energy above the most stable polymorph in this dataset = 0.000 eV/atom
1.0
7.871 0.000 0.000
0.000 4.052 0.000
-3.153 0.000 10.177
Na Y Cd S
2 2 2 6
Direct
0.182 0.250 0.145
0.818 0.750 0.855
0.329 0.750 0.858
0.671 0.250 0.142
0.059 0.250 0.615
0.941 0.750 0.385
0.080 0.250 0.856
0.242 0.750 0.578
0.433 0.750 0.127
0.567 0.250 0.873
0.758 0.250 0.422
0.920 0.750 0.144

[6]
PBE Na4ZnSn2Pt, relaxed; uncorrected energy = -22.18 eV per cell; volume = 169 Å³/cell; crystal system = tetragonal; space group = No. 115
1.0
4.911 0.000 0.000
0.000 4.911 0.000
0.000 0.000 6.988
Na Zn Sn Pt
4 1 2 1
Direct
0.000 0.000 0.000
0.000 0.500 0.246
0.500 0.000 0.754
0.500 0.500 0.500
0.000 0.000 0.500
0.000 0.500 0.764
0.500 0.000 0.236
0.500 0.500 0.000

- Which of these has the lowest volume?
  Na4ZnSn2Pt